The following is a DFT calculation (PBE) of an optimized crystal structure of SiAgPt2.

Calculated values
SG: R3m
Spin magnetization, μB per cell: 0.0
Density of states at the Fermi level, states/eV/f.u.: 2.30
Energy relative to the elements, uncorrected, eV per atom: -0.113
Final energy, eV/atom: -5.202

Cell: 8.906 8.906 8.906 Å, 18.61 18.61 18.61°
Positions (direct):
1 Si 0.000 0.000 0.000
2 Ag 0.250 0.250 0.250
3 Pt 0.494 0.494 0.494
4 Pt 0.736 0.736 0.736



The following is a DFT calculation (PBE) of an optimized crystal structure of Pm6PrHo3.

Calculated values
SG: Cmc2_1
Spin magnetization, μB per cell: 0.0
Density of states at the Fermi level, states/eV/f.u.: 14.48
Final energy, eV/atom: -4.557
Polymorph energy (0 for the lowest one), meV/atom: 19
E_form, eV per formula unit: 1.45

Cell: 11.104 11.104 6.333 Å, 90.00 90.00 120.44°
Positions (direct):
1 Pm 0.037 0.963 0.500
2 Pm 0.055 0.473 0.003
3 Pm 0.281 0.719 0.730
4 Pm 0.291 0.373 0.828
5 Pm 0.373 0.291 0.328
6 Pm 0.473 0.055 0.503
7 Pm 0.527 0.945 0.003
8 Pm 0.627 0.709 0.828
9 Pm 0.709 0.627 0.328
10 Pm 0.719 0.281 0.230
11 Pm 0.945 0.527 0.503
12 Pm 0.963 0.037 0.000
13 Pr 0.194 0.806 0.266
14 Pr 0.806 0.194 0.766
15 Ho 0.058 0.289 0.412
16 Ho 0.289 0.058 0.912
17 Ho 0.384 0.616 0.288
18 Ho 0.616 0.384 0.788
19 Ho 0.711 0.942 0.412
20 Ho 0.942 0.711 0.912



The following is a DFT calculation (PBE) of an optimized crystal structure of GaSnB2Os.

Calculated values
SG: P4/mmm
Spin magnetization, μB per cell: 0.0
Density of states at the Fermi level, states/eV/f.u.: 2.04
Final energy, eV/atom: -5.658
E_form, eV per formula unit: 3.33

Cell: 4.135 4.135 5.051 Å, 90.00 90.00 90.00°
Positions (direct):
1 Ga 0.000 0.000 0.000
2 Sn 0.500 0.500 0.000
3 B 0.000 0.500 0.500
4 B 0.500 0.000 0.500
5 Os 0.000 0.000 0.500



The following is a DFT calculation (PBE) of an optimized crystal structure of TcTeCN2.

Calculated values
SG: P4/mmm
Spin magnetization, μB per cell: 0.8
Density of states at the Fermi level, states/eV/f.u.: 3.43
Energy relative to the elements, uncorrected, eV per atom: 2.493
Final energy, eV/atom: -5.384
Polymorph energy (0 for the lowest one), meV/atom: 968

Cell: 3.798 3.798 4.218 Å, 90.00 90.00 90.00°
Positions (direct):
1 Tc 0.000 0.000 0.000
2 Te 0.500 0.500 0.000
3 C 0.500 0.500 0.500
4 N 0.000 0.500 0.500
5 N 0.500 0.000 0.500



The following is a DFT calculation (PBE) of an optimized crystal structure of MgNbPb2.

Calculated values
SG: I-42d
Spin magnetization, μB per cell: 0.0
Density of states at the Fermi level, states/eV/f.u.: 5.75
Final energy, eV/atom: -4.192
E_form, eV per formula unit: 2.31

Cell: 6.484 6.484 6.484 Å, 103.49 103.49 122.24°
Positions (direct):
1 Mg 0.000 0.000 0.000
2 Mg 0.750 0.250 0.500
3 Nb 0.250 0.750 0.500
4 Nb 0.500 0.500 0.000
5 Pb 0.131 0.625 0.006
6 Pb 0.375 0.381 0.506
7 Pb 0.619 0.125 0.994
8 Pb 0.875 0.869 0.494



The following is a DFT calculation (PBE) of an optimized crystal structure of K2HgRh.

Calculated values
SG: P4/mmm
Spin magnetization, μB per cell: 0.7
Density of states at the Fermi level, states/eV/f.u.: 3.45
Final energy, eV/atom: -2.038
E_form, eV per formula unit: 1.69

Cell: 6.100 6.100 3.154 Å, 90.00 90.00 90.00°
Positions (direct):
1 K 0.000 0.500 0.000
2 K 0.500 0.000 0.000
3 Hg 0.000 0.000 0.500
4 Rh 0.500 0.500 0.500